[1]
A geometry-optimized HfPaIn2O8 structure, computed with PBE-GGA.

Output
Space-group type: No. 65

a b c (Å): 4.984 4.984 6.765
angles (deg): 90.00 90.00 90.47
Atoms (fractional coordinates):
Hf (0.000, 0.000, 0.000)
Pa (0.000, 0.000, 0.500)
In (0.500, 0.500, 0.243)
In (0.500, 0.500, 0.757)
O (0.187, 0.813, 0.240)
O (0.187, 0.813, 0.760)
O (0.297, 0.297, 0.000)
O (0.306, 0.306, 0.500)
O (0.694, 0.694, 0.500)
O (0.703, 0.703, 0.000)
O (0.813, 0.187, 0.240)
O (0.813, 0.187, 0.760)

=====

[2]
A geometry-optimized TcGeAsSe2 structure, computed with PBE-GGA.

Output
Space-group type: No. 123

a b c (Å): 4.991 4.991 4.681
angles (deg): 90.00 90.00 90.00
Atoms (fractional coordinates):
Tc (0.000, 0.000, 0.000)
Ge (0.500, 0.500, 0.500)
As (0.000, 0.000, 0.500)
Se (0.000, 0.500, 0.000)
Se (0.500, 0.000, 0.000)

=====

[3]
A geometry-optimized LiAgN2F structure, computed with PBE-GGA.

Output
Space-group type: No. 123

a b c (Å): 4.313 4.313 3.446
angles (deg): 90.00 90.00 90.00
Atoms (fractional coordinates):
Li (0.000, 0.000, 0.000)
Ag (0.500, 0.500, 0.500)
N (0.000, 0.500, 0.000)
N (0.500, 0.000, 0.000)
F (0.000, 0.000, 0.500)

=====

How do the records compare in formation energy from raw total energies? In the order shown, they have -2.478, 0.511, 0.989 eV per atom.
How do the records compare in ρ? In the order shown, they have 7.582, 5.745, 4.192 g/cm³.